First-principles (PBE) data for a geometry-optimized RbVSn2 structure, as listed in Alexandria.

Cell: 5.3371 5.3371 5.3371 Å, 60.00 60.00 60.00°
Closest atoms and distances in Å follow each position.
Fractional coordinates of all 4 atoms:
Rb (0.0000, 0.0000, 0.0000)  8 Sn 3.27
V (0.5000, 0.5000, 0.5000)  8 Sn 3.27
Sn (0.2500, 0.2500, 0.2500)  4 Rb 3.27, 4 V 3.27
Sn (0.7500, 0.7500, 0.7500)  4 Rb 3.27, 4 V 3.27

Relative energy among the computed polymorphs   161.5 meV per atom
Total moment   0.85 μB/atom
Energy of formation from the pure elements   525 meV per atom
D(E_F)   1.09 states/eV/atom